Cs4NdPa3S12 | PBE | optimized geometry

a = 10.749 Å, b = 10.749 Å, c = 10.749 Å
α = 90.00°, β = 90.00°, γ = 90.00°
Space group Im-3m (No. 229)
Inequivalent atoms, fractional coordinates:
Cs: 0.250 0.250 0.250
Nd: 0.000 0.000 0.000
Pa: 0.000 0.000 0.500
S: 0.000 0.000 0.261
S: 0.000 0.250 0.500

Calculated values
The total energy comes out at -5.7976 eV/atom.

---

Cs3Nd2PaS6 | PBE | optimized geometry

a = 7.257 Å, b = 12.566 Å, c = 8.463 Å
α = 90.00°, β = 106.61°, γ = 90.00°
Space group C2/m (No. 12)
Inequivalent atoms, fractional coordinates:
Cs: 0.000 0.000 0.000
Cs: 0.000 0.330 0.000
Nd: 0.000 0.166 0.500
Pa: 0.000 0.500 0.500
S: 0.222 0.340 0.686
S: 0.242 0.000 0.687

Calculated values
The total energy comes out at -5.5408 eV/atom.

---

Cs2Nd2PaS6 | PBE | optimized geometry

a = 7.221 Å, b = 12.437 Å, c = 8.623 Å
α = 90.00°, β = 106.57°, γ = 90.00°
Space group C2/m (No. 12)
Inequivalent atoms, fractional coordinates:
Cs: 0.000 0.169 0.000
Nd: 0.000 0.334 0.500
Pa: 0.000 0.000 0.500
S: 0.220 0.161 0.680
S: 0.244 0.500 0.680

Calculated values
The total energy comes out at -5.9236 eV/atom.

---

CsNd2PaS5 | PBE | optimized geometry

a = 5.106 Å, b = 7.385 Å, c = 13.767 Å
α = 90.00°, β = 90.00°, γ = 90.00°
Space group Immm (No. 71)
Inequivalent atoms, fractional coordinates:
Cs: 0.000 0.000 0.000
Nd: 0.000 0.500 0.205
Pa: 0.000 0.000 0.500
S: 0.000 0.232 0.349
S: 0.000 0.500 0.000

Calculated values
The total energy comes out at -6.2384 eV/atom.

---

The calculation returns the following uncorrected formation energy values, one per record and in order: -143.5, -161.9, -172.4, -167.5 kJ per mole of atoms.
The calculation returns the following volume values, one per record and in order: 1242, 740, 742, 519 Å³ per cell.